DFT (PBE) results for a relaxed structure of Rb2RhSe.

a = 4.6644 Å, b = 4.6644 Å, c = 11.6150 Å
α = 78.42°, β = 78.42°, γ = 90.00°
With the nearest neighbours (Å) after each atom.
Fractional coordinates of all 8 atoms:
Rh1 0.0000 0.0000 0.0000  4 Rb 3.23, 4 Se 3.30
Rh2 0.7500 0.2500 0.5000  4 Rb 3.23, 4 Se 3.30
Se1 0.5000 0.5000 0.0000  4 Rb 3.25, 4 Rh 3.30
Se2 0.2500 0.7500 0.5000  4 Rb 3.25, 4 Rh 3.30
Rb1 0.6305 0.1250 0.2500  2 Rh 3.23, 2 Se 3.25, 4 Rb 3.26-3.33
Rb2 0.1195 0.6250 0.2500  2 Rh 3.23, 2 Se 3.25, 4 Rb 3.26-3.33
Rb3 0.3750 0.3695 0.7500  2 Rh 3.23, 2 Se 3.25, 4 Rb 3.26-3.33
Rb4 0.8750 0.8805 0.7500  2 Rh 3.23, 2 Se 3.25, 4 Rb 3.26-3.33

The magnetic moment comes out at 0.97 μB per formula unit. Its density of states at the Fermi level is 1.4 states/eV/cell. The calculation puts the raw formation energy at 390 meV/atom.

DFT (PBE) results for a relaxed structure of RbSi2RhSe8.

a = 6.2508 Å, b = 6.2508 Å, c = 10.3458 Å
α = 90.00°, β = 90.00°, γ = 120.00°
With the nearest neighbours (Å) after each atom.
Fractional coordinates of all 12 atoms:
Rb1 0.0000 0.0000 0.0000  6 Se 3.72
Si1 0.6667 0.3333 0.2994  4 Se 2.21-2.33
Si2 0.3333 0.6667 0.7006  4 Se 2.21-2.33
Rh1 0.0000 0.0000 0.5000  6 Se 2.51
Se1 0.3333 0.6667 0.9141  1 Si 2.21
Se2 0.3300 0.3589 0.3766  1 Si 2.33, 1 Rh 2.51
Se3 0.6411 0.9711 0.3766  1 Si 2.33, 1 Rh 2.51
Se4 0.6667 0.3333 0.0859  1 Si 2.21
Se5 0.3589 0.0289 0.6234  1 Si 2.33, 1 Rh 2.51
Se6 0.6700 0.6411 0.6234  1 Si 2.33, 1 Rh 2.51
Se7 0.9711 0.3300 0.6234  1 Si 2.33, 1 Rh 2.51
Se8 0.0289 0.6700 0.3766  1 Si 2.33, 1 Rh 2.51

The magnetic moment comes out at 1.30 μB per formula unit. Its density of states at the Fermi level is 10.5 states/eV/cell. The calculation puts the raw formation energy at -306 meV/atom.

DFT (PBE) results for a relaxed structure of RbTiRhSe3.

a = 3.7696 Å, b = 8.8800 Å, c = 9.9077 Å
α = 114.08°, β = 90.00°, γ = 90.00°
With the nearest neighbours (Å) after each atom.
Fractional coordinates of all 12 atoms:
Rb1 0.2500 0.2325 0.2547  7 Se 3.40-3.58, 2 Rb 3.77
Rb2 0.7500 0.7675 0.7453  7 Se 3.40-3.58, 2 Rb 3.77
Ti1 0.2500 0.6909 0.1621  6 Se 2.54-2.69
Ti2 0.7500 0.3091 0.8379  6 Se 2.54-2.69
Rh1 0.2500 0.0889 0.6002  4 Se 2.43-2.70
Rh2 0.7500 0.9111 0.3998  4 Se 2.43-2.70
Se1 0.7500 0.8747 0.1351  1 Rh 2.51, 2 Ti 2.58
Se2 0.2500 0.1253 0.8649  1 Rh 2.51, 2 Ti 2.58
Se3 0.2500 0.7598 0.4370  3 Rh 2.43-2.70, 1 Ti 2.54
Se4 0.7500 0.2402 0.5630  3 Rh 2.43-2.70, 1 Ti 2.54
Se5 0.7500 0.4706 0.1336  3 Ti 2.65-2.69
Se6 0.2500 0.5294 0.8664  3 Ti 2.65-2.69

The magnetic moment comes out at 0.00 μB per formula unit. Its density of states at the Fermi level is 5.9 states/eV/cell. The calculation puts the raw formation energy at -936 meV/atom.

DFT (PBE) results for a relaxed structure of Rb4U3RhSe8.

a = 8.2897 Å, b = 9.3727 Å, c = 8.2922 Å
α = 116.26°, β = 119.99°, γ = 90.00°
With the nearest neighbours (Å) after each atom.
Fractional coordinates of all 16 atoms:
Rb1 0.5000 0.0000 0.0000  6 Se 3.51
Rb2 0.5000 0.0000 0.5000  6 Se 3.39-3.43
Rb3 0.0000 0.0000 0.0000  6 Se 3.39-3.43
Rb4 0.0000 0.0000 0.5000  6 Se 3.39-3.43
U1 0.5000 0.5000 0.0000  6 Se 2.87-2.89
U2 0.5000 0.5000 0.5000  6 Se 2.87-2.89
U3 0.0000 0.5000 0.5000  6 Se 2.87-2.89
Rh1 0.0000 0.5000 0.0000  6 Se 2.78
Se1 0.2248 0.6902 0.9655  1 Rh 2.78, 2 U 2.87-2.88
Se2 0.2250 0.6904 0.4500  1 Rh 2.78, 2 U 2.87
Se3 0.2660 0.2980 0.5320  3 U 2.89
Se4 0.7407 0.6902 0.9655  1 Rh 2.78, 2 U 2.87-2.88
Se5 0.2593 0.3098 0.0345  1 Rh 2.78, 2 U 2.87-2.88
Se6 0.7340 0.7020 0.4680  3 U 2.89
Se7 0.7750 0.3096 0.5500  1 Rh 2.78, 2 U 2.87
Se8 0.7752 0.3098 0.0345  1 Rh 2.78, 2 U 2.87-2.88

The magnetic moment comes out at 8.78 μB per formula unit. Its density of states at the Fermi level is 15.2 states/eV/cell. The calculation puts the raw formation energy at -1048 meV/atom.

DFT (PBE) results for a relaxed structure of RbURhSe3.

a = 4.1165 Å, b = 9.3012 Å, c = 9.8239 Å
α = 111.14°, β = 90.00°, γ = 90.00°
With the nearest neighbours (Å) after each atom.
Fractional coordinates of all 12 atoms:
Rb1 0.2500 0.2077 0.2477  7 Se 3.51-3.58, 1 Rh 3.93
Rb2 0.7500 0.7923 0.7523  7 Se 3.51-3.58, 1 Rh 3.93
U1 0.2500 0.6844 0.1593  6 Se 2.78-2.89
U2 0.7500 0.3156 0.8407  6 Se 2.78-2.89
Rh1 0.2500 0.0876 0.5921  4 Se 2.47-2.56
Rh2 0.7500 0.9124 0.4079  4 Se 2.47-2.56
Se1 0.7500 0.8793 0.1378  1 Rh 2.56, 2 U 2.80
Se2 0.2500 0.1207 0.8622  1 Rh 2.56, 2 U 2.80
Se3 0.2500 0.7960 0.4624  3 Rh 2.47-2.55
Se4 0.7500 0.2040 0.5376  3 Rh 2.47-2.55
Se5 0.7500 0.4649 0.1538  3 U 2.88-2.89
Se6 0.2500 0.5351 0.8462  3 U 2.88-2.89

The magnetic moment comes out at 2.01 μB per formula unit. Its density of states at the Fermi level is 15.0 states/eV/cell. The calculation puts the raw formation energy at -980 meV/atom.

DFT (PBE) results for a relaxed structure of RbV2RhSe.

a = 4.8588 Å, b = 5.2506 Å, c = 4.8588 Å
α = 90.00°, β = 90.00°, γ = 90.00°
With the nearest neighbours (Å) after each atom.
Fractional coordinates of all 5 atoms:
Rh1 0.0000 0.0000 0.0000  4 V 2.43, 2 Se 2.63
Se1 0.0000 0.5000 0.0000  2 Rh 2.63
Rb1 0.5000 0.5000 0.5000  4 Se 3.44, 8 V 3.58
V1 0.0000 0.0000 0.5000  2 Rh 2.43
V2 0.5000 0.0000 0.0000  2 Rh 2.43

The magnetic moment comes out at 5.71 μB per formula unit. Its density of states at the Fermi level is 3.9 states/eV/cell. The calculation puts the raw formation energy at 615 meV/atom.

| no. | E (eV per atom) |
| --- | --- |
| 1 | -2.803 |
| 2 | -4.226 |
| 3 | -5.381 |
| 4 | -5.608 |
| 5 | -5.990 |
| 6 | -5.393 |